No. 1
! Sc2HgSe4 (PBE, relaxed); values from VASP
&SYSTEM
  ibrav = 0, nat = 14, ntyp = 3
/
ATOMIC_SPECIES
Hg 200.59 Hg.upf
Sc 44.96 Sc.upf
Se 78.96 Se.upf
CELL_PARAMETERS angstrom
0.000 5.666 5.666
5.666 0.000 5.666
5.666 5.666 0.000
ATOMIC_POSITIONS angstrom
Hg 0.000 0.000 0.000
Hg 8.498 8.498 8.498
Sc 4.249 4.249 4.249
Sc 4.249 7.082 7.082
Sc 7.082 4.249 7.082
Sc 7.082 7.082 4.249
Se 1.543 1.543 1.543
Se 1.543 4.123 4.123
Se 4.123 1.543 4.123
Se 4.375 4.375 6.956
Se 4.123 4.123 1.543
Se 4.375 6.956 4.375
Se 6.956 6.956 6.956
Se 6.956 4.375 4.375
! - total magnetization (μB per atom) = 0.0003
! - SG = No. 227
! - energy (eV/atom) = -5.11

No. 2
! ScTlHgSe3 (PBE, relaxed); values from VASP
&SYSTEM
  ibrav = 0, nat = 12, ntyp = 4
/
ATOMIC_SPECIES
Hg 200.59 Hg.upf
Sc 44.96 Sc.upf
Se 78.96 Se.upf
Tl 204.38 Tl.upf
CELL_PARAMETERS angstrom
-0.175 1.120 8.359
3.167 -2.537 0.406
6.092 6.973 -3.938
ATOMIC_POSITIONS angstrom
Hg 2.978 -0.438 4.758
Hg 6.106 5.994 0.069
Sc 2.885 2.855 5.576
Sc 6.199 2.701 -0.749
Se 1.000 0.612 6.264
Se 4.541 0.629 -0.761
Se 4.593 1.438 3.889
Se 4.492 4.118 0.938
Se 4.543 4.927 5.588
Se 8.084 4.944 -1.437
Tl 2.254 1.396 1.383
Tl 6.830 4.160 3.444
! - total magnetization (μB per atom) = 0.0008
! - SG = No. 11
! - E above lowest polymorph (eV/atom) = 0.000